The following is a DFT calculation (PBE) of a geometry-optimized CrCd3Pt12 structure.

The total DFT energy (no corrections) is -88.29 eV for the cell shown. The volume comes out at 16.1 Å³ per atom. For the formation energy, the calculation gives -0.2145 eV per atom.

It has space group P4/mmm (No. 123), with a = 3.9983 Å, b = 3.9983 Å, c = 16.1070 Å, α = 90.00°, β = 90.00° and γ = 90.00°. The distinct sites, in fractional coordinates, are Cr at (0.0000, 0.0000, 0.0000), Cd at (0.0000, 0.0000, 0.2459), Cd at (0.0000, 0.0000, 0.5000), Pt at (0.0000, 0.5000, 0.1160), Pt at (0.0000, 0.5000, 0.3727), Pt at (0.5000, 0.5000, 0.0000), Pt at (0.5000, 0.5000, 0.2449) and Pt at (0.5000, 0.5000, 0.5000).